The following is a PBE calculation of a geometry-optimized KTlSn3 structure, from Alexandria via LeMat-Bulk.

```
KTlSn3
1.0
5.873 0.000 0.000
0.000 5.873 0.000
0.000 0.000 5.873
K Tl Sn
1 1 3
Direct
0.000 0.000 0.000 K
0.500 0.500 0.500 Tl
0.000 0.500 0.500 Sn
0.500 0.000 0.500 Sn
0.500 0.500 0.000 Sn
```

Computed properties:
The calculation puts the formation energy at 364 meV/atom. The value obtained for the polymorph energy (0 for the lowest one) is 0.000 eV per formula unit. As for the density of states at the Fermi level: 0.760 states/eV/atom. Its electronic total energy is -2.730 eV/atom. The total magnetization is 0.0 μB/cell.